Entry 1:
A plane-wave DFT calculation with PBE was carried out for an optimized crystal structure of Be10Fe4Ge.

Output
Space-group type: I4/m, No. 87
Size of the total moment: 3.89 μB/cell
V: 149.6 Å³ per cell
Uncorrected energy: -4.834 eV/atom
Formation enthalpy at 0 K: 0.21 eV per atom

Cell lengths 5.803, 5.803, 5.803 Å; angles 112.03, 112.03, 104.46 degrees
Atoms (fractional coordinates):
Be 0.036 0.925 0.658
Be 0.075 0.733 0.111
Be 0.250 0.750 0.500
Be 0.267 0.377 0.342
Be 0.377 0.036 0.111
Be 0.623 0.964 0.889
Be 0.733 0.623 0.658
Be 0.750 0.250 0.500
Be 0.925 0.267 0.889
Be 0.964 0.075 0.342
Fe 0.164 0.580 0.744
Fe 0.420 0.164 0.583
Fe 0.580 0.836 0.417
Fe 0.836 0.420 0.256
Ge 0.500 0.500 0.000

***

Entry 2:
A plane-wave DFT calculation with PBE was carried out for an optimized crystal structure of NaRe.

Output
Space-group type: F-43m, No. 216
Size of the total moment: 16.35 μB/cell
V: 336.9 Å³ per cell
Uncorrected energy: -3.429 eV/atom
Formation enthalpy at 0 K: 3.45 eV per atom
Energy above the most stable polymorph in this dataset: 2749.1 meV per atom

Cell lengths 6.959, 6.959, 6.959 Å; angles 90.00, 90.00, 90.00 degrees
Atoms (fractional coordinates):
Na 0.000 0.000 0.000
Na 0.000 0.500 0.500
Na 0.500 0.000 0.500
Na 0.500 0.500 0.000
Re 0.250 0.250 0.750
Re 0.250 0.750 0.250
Re 0.750 0.250 0.250
Re 0.750 0.750 0.750

***

Entry 3:
A plane-wave DFT calculation with PBE was carried out for an optimized crystal structure of KHfSe2.

Output
Space-group type: P2_1/m, No. 11
Size of the total moment: 1.36 μB/cell
Formation energy without anion corrections: -1.221 eV per atom
V: 225.1 Å³ per cell
Uncorrected energy: -5.726 eV/atom

Cell lengths 6.636, 3.759, 9.081 Å; angles 90.00, 96.44, 90.00 degrees
Atoms (fractional coordinates):
K 0.232 0.250 0.370
K 0.768 0.750 0.630
Hf 0.353 0.250 0.882
Hf 0.647 0.750 0.118
Se 0.246 0.750 0.073
Se 0.271 0.750 0.673
Se 0.729 0.250 0.327
Se 0.754 0.250 0.927